Material: Na4Ce3PdSe8
Method: DFT, PBE-GGA
State: optimized geometry

Cell: 8.483 8.483 8.432 Å, 118.97 118.97 57.68°
Atoms (fractional coordinates):
Na  0.000  0.000  0.000
Na  0.000  0.500  0.000
Na  0.500  0.000  0.000
Na  0.500  0.500  0.000
Ce  0.000  0.000  0.500
Ce  0.000  0.500  0.500
Ce  0.500  0.000  0.500
Pd  0.500  0.500  0.500
Se  0.226  0.226  0.239
Se  0.240  0.240  0.736
Se  0.267  0.713  0.708
Se  0.287  0.733  0.292
Se  0.713  0.267  0.708
Se  0.733  0.287  0.292
Se  0.760  0.760  0.264
Se  0.774  0.774  0.761

Space-group type   No. 12
Energy   -77.79 eV per cell
V   26.71 Å³ per atom
Total moment   2.026 μB/cell
Formation energy (no corrections)   -1.35 eV/atom

***

Material: HgPtSe2
Method: DFT, PBE-GGA
State: optimized geometry

Cell: 7.070 8.640 6.265 Å, 90.00 90.00 90.00°
Atoms (fractional coordinates):
Hg  0.089  0.046  0.000
Hg  0.411  0.546  0.500
Hg  0.589  0.454  0.000
Hg  0.911  0.954  0.500
Pt  0.021  0.334  0.142
Pt  0.479  0.834  0.642
Pt  0.521  0.166  0.142
Pt  0.979  0.666  0.642
Se  0.014  0.392  0.762
Se  0.224  0.763  0.907
Se  0.276  0.263  0.407
Se  0.486  0.892  0.262
Se  0.514  0.108  0.762
Se  0.724  0.737  0.907
Se  0.776  0.237  0.407
Se  0.986  0.608  0.262

Space-group type   No. 33
Energy   -54.32 eV per cell
V   23.92 Å³ per atom
E above lowest polymorph   21.8 kJ/mol of atoms
Total moment   0.000 μB/cell
Formation energy (no corrections)   -0.07 eV/atom

***

Material: LuUTc4
Method: DFT, PBE-GGA
State: optimized geometry

Cell: 5.351 5.351 5.351 Å, 60.00 60.00 60.00°
Atoms (fractional coordinates):
Lu  0.000  0.000  0.000
U  0.250  0.250  0.250
Tc  0.124  0.625  0.625
Tc  0.625  0.124  0.625
Tc  0.625  0.625  0.124
Tc  0.625  0.625  0.625

Space-group type   No. 216
Energy   -57.39 eV per cell
V   18.05 Å³ per atom
Total moment   1.872 μB/cell
Energy of formation   -11 kJ/mol of formula units